# P2Ir2Pb

A geometry-optimized P2Ir2Pb structure (PBE, the Alexandria database).

Lattice parameters (Å, degrees): 4.2962 4.2962 5.7518 68.07 68.07 90.00
Positions (direct):
Pb (0.0000, 0.0000, 0.0000)
P (0.7500, 0.2500, 0.5000)
P (0.2500, 0.7500, 0.5000)
Ir (0.3551, 0.3551, 0.2899)
Ir (0.6449, 0.6449, 0.7101)

Summary:
- formation enthalpy at 0 K (eV per atom) = -0.136
- symmetry = I4/mmm (139)
- crystal system = tetragonal



# CrReSbTe2

A geometry-optimized CrReSbTe2 structure (PBE, the Alexandria database).

Lattice parameters (Å, degrees): 5.1470 5.1470 5.0370 90.00 90.00 90.00
Site moments in Bohr magnetons follow the coordinates.
Positions (direct):
Re (0.5000, 0.5000, 0.5000)  3.26
Te (0.0000, 0.5000, 0.0000)  -0.14
Te (0.5000, 0.0000, 0.0000)  -0.14
Cr (0.0000, 0.0000, 0.0000)  2.56
Sb (0.0000, 0.0000, 0.5000)  -0.23

Summary:
- energy above the most stable polymorph in this dataset (meV/atom) = 0
- symmetry = P4/mmm (123)
- crystal system = tetragonal



# La7Pr3Er2

A geometry-optimized La7Pr3Er2 structure (PBE, the Alexandria database).

Lattice parameters (Å, degrees): 3.6072 6.6002 18.5883 75.30 90.00 90.00
Positions (direct):
La (0.5000, 0.2313, 0.5085)
La (0.5000, 0.7687, 0.4915)
La (0.0000, 0.5605, 0.1695)
La (0.0000, 0.0000, 0.0000)
La (0.0000, 0.4395, 0.8305)
La (0.5000, 0.9511, 0.8283)
La (0.5000, 0.0489, 0.1717)
Pr (0.5000, 0.5000, 0.0000)
Pr (0.0000, 0.1189, 0.3362)
Pr (0.0000, 0.8811, 0.6638)
Er (0.5000, 0.6129, 0.3306)
Er (0.5000, 0.3871, 0.6694)

Summary:
- formation enthalpy at 0 K (eV per atom) = 0.067
- energy above the most stable polymorph in this dataset (meV/atom) = 0
- symmetry = P2/m (10)
- crystal system = monoclinic



# AcSm4Er15

A geometry-optimized AcSm4Er15 structure (PBE, the Alexandria database).

Lattice parameters (Å, degrees): 5.0319 5.0319 25.0688 90.00 90.00 90.00
Positions (direct):
Ac (0.0000, 0.0000, 0.0000)
Sm (0.0000, 0.0000, 0.2026)
Sm (0.0000, 0.0000, 0.4012)
Sm (0.0000, 0.0000, 0.5988)
Sm (0.0000, 0.0000, 0.7974)
Er (0.5000, 0.5000, 0.0000)
Er (0.5000, 0.5000, 0.2034)
Er (0.5000, 0.5000, 0.4011)
Er (0.5000, 0.5000, 0.5989)
Er (0.5000, 0.5000, 0.7966)
Er (0.5000, 0.0000, 0.1046)
Er (0.5000, 0.0000, 0.3023)
Er (0.5000, 0.0000, 0.5000)
Er (0.5000, 0.0000, 0.6977)
Er (0.5000, 0.0000, 0.8954)
Er (0.0000, 0.5000, 0.1046)
Er (0.0000, 0.5000, 0.3023)
Er (0.0000, 0.5000, 0.5000)
Er (0.0000, 0.5000, 0.6977)
Er (0.0000, 0.5000, 0.8954)

Summary:
- formation enthalpy at 0 K (eV per atom) = 0.033
- symmetry = P4/mmm (123)
- crystal system = tetragonal



# MoP3

A geometry-optimized MoP3 structure (PBE, the Alexandria database).

Lattice parameters (Å, degrees): 3.2095 3.2095 6.6639 90.00 90.00 120.00
Positions (direct):
Mo (0.0000, 0.0000, 0.0000)
P (0.0000, 0.0000, 0.5000)
P (0.6667, 0.3333, 0.2478)
P (0.6667, 0.3333, 0.7522)

Summary:
- formation enthalpy at 0 K (eV per atom) = -0.002
- energy above the most stable polymorph in this dataset (meV/atom) = 242
- symmetry = P-6m2 (187)
- crystal system = hexagonal



# Rb4Sm3PtO8

A geometry-optimized Rb4Sm3PtO8 structure (PBE, the Alexandria database).

Lattice parameters (Å, degrees): 6.9718 7.6675 7.1720 116.58 119.08 90.00
Site moments in Bohr magnetons follow the coordinates.
Positions (direct):
Rb (0.5000, 0.0000, 0.0000)  0.01
Rb (0.5000, 0.0000, 0.5000)  0.00
Rb (0.0000, 0.0000, 0.0000)  0.00
Rb (0.0000, 0.0000, 0.5000)  0.00
Sm (0.5000, 0.5000, 0.0000)  0.00
Sm (0.5000, 0.5000, 0.5000)  -0.01
Sm (0.0000, 0.5000, 0.5000)  -0.01
Pt (0.0000, 0.5000, 0.0000)  0.54
O (0.2026, 0.6665, 0.9502)  0.01
O (0.2599, 0.7109, 0.5199)  0.18
O (0.2797, 0.3212, 0.5594)  0.00
O (0.7476, 0.6665, 0.9502)  0.01
O (0.2524, 0.3335, 0.0498)  0.01
O (0.7203, 0.6788, 0.4406)  0.00
O (0.7401, 0.2891, 0.4801)  0.18
O (0.7974, 0.3335, 0.0498)  0.01

Summary:
- E_tot (eV/atom) = -6.0569
- symmetry = C2/m (12)
- crystal system = monoclinic



# TbNd2SmHo6

A geometry-optimized TbNd2SmHo6 structure (PBE, the Alexandria database).

Lattice parameters (Å, degrees): 9.7194 8.7684 8.7684 118.02 94.67 94.67
Positions (direct):
Tb (0.2500, 0.4068, 0.5932)
Tb (0.7500, 0.5932, 0.4068)
Nd (0.4577, 0.8072, 0.7050)
Nd (0.0423, 0.2950, 0.1928)
Nd (0.5423, 0.1928, 0.2950)
Nd (0.9577, 0.7050, 0.8072)
Sm (0.2500, 0.9822, 0.0178)
Sm (0.7500, 0.0178, 0.9822)
Ho (0.0572, 0.1230, 0.7411)
Ho (0.4428, 0.2589, 0.8770)
Ho (0.9428, 0.8770, 0.2589)
Ho (0.5572, 0.7411, 0.1230)
Ho (0.3139, 0.9776, 0.4258)
Ho (0.1861, 0.5742, 0.0224)
Ho (0.6861, 0.0224, 0.5742)
Ho (0.8139, 0.4258, 0.9776)
Ho (0.1195, 0.7055, 0.4936)
Ho (0.3805, 0.5064, 0.2945)
Ho (0.8805, 0.2945, 0.5064)
Ho (0.6195, 0.4936, 0.7055)

Summary:
- formation enthalpy at 0 K (eV per atom) = 0.118
- symmetry = C2/c (15)
- crystal system = monoclinic



# Tm6Si2SeS3

A geometry-optimized Tm6Si2SeS3 structure (PBE, the Alexandria database).

Lattice parameters (Å, degrees): 3.9651 7.9373 8.8434 102.41 102.95 90.00
Positions (direct):
Tm (0.3298, 0.9069, 0.6596)
Tm (0.6673, 0.5820, 0.3345)
Tm (0.6702, 0.0931, 0.3404)
Tm (0.0040, 0.2634, 0.0079)
Tm (0.9960, 0.7366, 0.9921)
Tm (0.3327, 0.4180, 0.6655)
Si (0.8333, 0.6665, 0.6666)
Si (0.1667, 0.3335, 0.3334)
Se (0.5000, 0.0000, 0.0000)
S (0.5000, 0.5000, 0.0000)
S (0.8365, 0.1638, 0.6730)
S (0.1635, 0.8362, 0.3270)

Summary:
- E_tot (eV/atom) = -6.0015
- symmetry = C2/m (12)
- crystal system = monoclinic



# TaIrW4

A geometry-optimized TaIrW4 structure (PBE, the Alexandria database).

Lattice parameters (Å, degrees): 5.2347 5.2347 5.2347 60.00 60.00 60.00
Positions (direct):
Ta (0.0000, 0.0000, 0.0000)
Ir (0.7500, 0.7500, 0.7500)
W (0.8790, 0.3737, 0.3737)
W (0.3737, 0.3737, 0.8790)
W (0.3737, 0.8790, 0.3737)
W (0.3737, 0.3737, 0.3737)

Summary:
- formation enthalpy at 0 K (eV per atom) = 0.270
- symmetry = F-43m (216)
- crystal system = cubic



# LiNiAs2

A geometry-optimized LiNiAs2 structure (PBE, the Alexandria database).

Lattice parameters (Å, degrees): 5.8993 5.8993 4.0165 75.60 75.60 27.94
Positions (direct):
As (0.9434, 0.9434, 0.9671)
As (0.7270, 0.7270, 0.8240)
Li (0.5464, 0.5464, 0.3968)
Ni (0.2832, 0.2832, 0.3120)

Summary:
- formation enthalpy at 0 K (eV per atom) = -0.220
- energy above the most stable polymorph in this dataset (meV/atom) = 116
- symmetry = Cm (8)
- crystal system = monoclinic



# Ho7Sb2Au2

A geometry-optimized Ho7Sb2Au2 structure (PBE, the Alexandria database).

Lattice parameters (Å, degrees): 7.0072 6.9367 7.0072 90.00 100.82 90.00
Positions (direct):
Ho (0.9998, 0.2541, 0.5003)
Ho (0.5003, 0.7459, 0.9998)
Ho (0.0002, 0.7459, 0.4997)
Ho (0.4997, 0.2541, 0.0002)
Ho (0.0000, 0.0000, 0.0000)
Ho (0.5002, 0.7575, 0.4998)
Ho (0.4998, 0.2425, 0.5002)
Sb (0.7973, 0.5000, 0.7973)
Sb (0.2027, 0.5000, 0.2027)
Au (0.7208, 0.0000, 0.2792)
Au (0.2792, 0.0000, 0.7208)

Summary:
- E_tot (eV/atom) = -4.7333
- symmetry = Cmmm (65)
- crystal system = orthorhombic



# Re2TeAs

A geometry-optimized Re2TeAs structure (PBE, the Alexandria database).

Lattice parameters (Å, degrees): 4.6389 4.6389 4.6389 60.00 60.00 60.00
Positions (direct):
Re (0.0000, 0.0000, 0.0000)
Re (0.2500, 0.2500, 0.2500)
As (0.5000, 0.5000, 0.5000)
Te (0.7500, 0.7500, 0.7500)

Summary:
- energy above the most stable polymorph in this dataset (meV/atom) = 849
- symmetry = F-43m (216)
- crystal system = cubic



# CeSm2Ge

A geometry-optimized CeSm2Ge structure (PBE, the Alexandria database).

Lattice parameters (Å, degrees): 3.8751 3.8751 7.0554 90.00 90.00 90.00
Positions (direct):
Ge (0.5000, 0.5000, 0.5000)
Ce (0.5000, 0.5000, 0.0000)
Sm (0.0000, 0.0000, 0.7140)
Sm (0.0000, 0.0000, 0.2860)

Summary:
- formation enthalpy at 0 K (eV per atom) = -0.293
- energy above the most stable polymorph in this dataset (meV/atom) = 44
- symmetry = P4/mmm (123)
- crystal system = tetragonal



# Cr3RePb

A geometry-optimized Cr3RePb structure (PBE, the Alexandria database).

Lattice parameters (Å, degrees): 4.7521 4.7521 4.7521 90.00 90.00 90.00
Site moments in Bohr magnetons follow the coordinates.
Positions (direct):
Pb (0.5000, 0.5000, 0.5000)  -0.07
Re (0.0000, 0.0000, 0.0000)  -0.81
Cr (0.0000, 0.5000, 0.0000)  2.92
Cr (0.0000, 0.0000, 0.5000)  2.65
Cr (0.5000, 0.0000, 0.0000)  3.39

Summary:
- formation enthalpy at 0 K (eV per atom) = 1.194
- energy above the most stable polymorph in this dataset (meV/atom) = 0
- symmetry = Pm-3m (221)
- crystal system = cubic



# Y2GeOsBr

A geometry-optimized Y2GeOsBr structure (PBE, the Alexandria database).

Lattice parameters (Å, degrees): 5.2373 4.8433 5.2373 90.00 90.00 90.00
Site moments in Bohr magnetons follow the coordinates.
Positions (direct):
Y (0.0000, 0.0000, 0.5000)  -0.06
Y (0.5000, 0.0000, 0.0000)  -0.07
Ge (0.0000, 0.5000, 0.0000)  0.00
Os (0.5000, 0.5000, 0.5000)  1.18
Br (0.0000, 0.0000, 0.0000)  -0.01

Summary:
- E_tot (eV/atom) = -5.2443
- symmetry = P4/mmm (123)
- crystal system = tetragonal



# NaInCuCl6

A geometry-optimized NaInCuCl6 structure (PBE, the Alexandria database).

Lattice parameters (Å, degrees): 6.2819 6.4479 6.4479 120.00 90.00 90.00
Site moments in Bohr magnetons follow the coordinates.
Positions (direct):
Na (0.0000, 0.3333, 0.6667)  0.00
In (0.5000, 0.6667, 0.3333)  0.00
Cu (0.5000, 0.0000, 0.0000)  0.54
Cl (0.7264, 0.7015, 0.6776)  0.06
Cl (0.7264, 0.3224, 0.0239)  0.06
Cl (0.7264, 0.9761, 0.2985)  0.06
Cl (0.2736, 0.3224, 0.2985)  0.06
Cl (0.2736, 0.7015, 0.0239)  0.06
Cl (0.2736, 0.9761, 0.6776)  0.06

Summary:
- E_tot (eV/atom) = -3.1571
- symmetry = P312 (149)
- crystal system = trigonal



# Nd2MgRuC

A geometry-optimized Nd2MgRuC structure (PBE, the Alexandria database).

Lattice parameters (Å, degrees): 3.9487 5.2682 5.2682 90.00 90.00 90.00
Positions (direct):
Nd (0.0000, 0.0000, 0.5000)
Nd (0.0000, 0.5000, 0.0000)
Mg (0.5000, 0.5000, 0.5000)
Ru (0.5000, 0.0000, 0.0000)
C (0.0000, 0.0000, 0.0000)

Summary:
- formation enthalpy at 0 K (eV per atom) = -0.199
- symmetry = P4/mmm (123)
- crystal system = tetragonal



# Rb4Pr3PuS8

A geometry-optimized Rb4Pr3PuS8 structure (PBE, the Alexandria database).

Lattice parameters (Å, degrees): 8.4799 9.1242 8.4800 117.70 120.00 90.00
Site moments in Bohr magnetons follow the coordinates.
Positions (direct):
Rb (0.5000, 0.0000, 0.0000)  0.00
Rb (0.5000, 0.0000, 0.5000)  0.00
Rb (0.0000, 0.0000, 0.0000)  0.00
Rb (0.0000, 0.0000, 0.5000)  0.00
Pr (0.5000, 0.5000, 0.0000)  0.01
Pr (0.5000, 0.5000, 0.5000)  0.01
Pr (0.0000, 0.5000, 0.5000)  0.01
Pu (0.0000, 0.5000, 0.0000)  5.01
S (0.2289, 0.6955, 0.9667)  -0.03
S (0.2289, 0.6955, 0.4579)  -0.03
S (0.2667, 0.3002, 0.5334)  0.00
S (0.7377, 0.6955, 0.9667)  -0.03
S (0.2623, 0.3045, 0.0333)  -0.03
S (0.7333, 0.6998, 0.4666)  0.00
S (0.7711, 0.3045, 0.5421)  -0.03
S (0.7711, 0.3045, 0.0333)  -0.03

Summary:
- E_tot (eV/atom) = -5.8366
- symmetry = R-3m (166)
- crystal system = trigonal



# Sr2ErScO5

A geometry-optimized Sr2ErScO5 structure (PBE, the Alexandria database).

Lattice parameters (Å, degrees): 3.5138 7.0974 11.4790 90.00 90.00 104.33
Positions (direct):
Sr (0.8499, 0.6998, 0.8014)
Sr (0.0898, 0.1795, 0.6720)
Sr (0.1501, 0.3002, 0.3014)
Sr (0.9102, 0.8205, 0.1720)
Er (0.7801, 0.5601, 0.5255)
Er (0.2199, 0.4399, 0.0255)
Sc (0.5302, 0.0603, 0.9477)
Sc (0.4698, 0.9397, 0.4477)
O (0.3790, 0.7579, 0.9967)
O (0.6872, 0.3744, 0.9080)
O (0.4926, 0.9851, 0.7811)
O (0.2713, 0.5426, 0.6594)
O (0.9460, 0.8919, 0.5323)
O (0.6210, 0.2421, 0.4967)
O (0.3128, 0.6256, 0.4080)
O (0.5074, 0.0149, 0.2811)
O (0.7287, 0.4574, 0.1594)
O (0.0540, 0.1081, 0.0323)

Summary:
- E_tot (eV/atom) = -7.5165
- symmetry = Cmc2_1 (36)
- crystal system = orthorhombic



# PmY2ThAs4

A geometry-optimized PmY2ThAs4 structure (PBE, the Alexandria database).

Lattice parameters (Å, degrees): 4.1943 7.2318 7.2550 70.51 90.00 90.00
Positions (direct):
Pm (0.5000, 0.5000, 0.0000)
Y (0.0000, 0.0000, 0.0000)
Y (0.5000, 0.0000, 0.5000)
Th (0.0000, 0.5000, 0.5000)
As (0.0000, 0.7561, 0.7470)
As (0.0000, 0.2439, 0.2530)
As (0.5000, 0.7566, 0.2481)
As (0.5000, 0.2434, 0.7519)

Summary:
- formation enthalpy at 0 K (eV per atom) = -1.529
- symmetry = P2/m (10)
- crystal system = monoclinic